Entry 1:
Computed, not measured: an optimized crystal structure of Pm7Sm4Dy at the GGA-PBE level of DFT.

Properties
* VASP energy: -4.72 eV/atom
* space-group type: P-1
* excess energy over the best structure of this formula in the dataset: 0.0 kJ/mol of atoms
* calculated formation energy: 0.009 eV/atom

a = 7.3237 Å, b = 6.3387 Å, c = 11.6435 Å
α = 79.56°, β = 50.99°, γ = 90.01°
Closest atoms and distances in Å follow each position.
Sites, in units of the cell vectors:
Pm 0.7502 0.5002 0.0001  3 Sm 3.60-3.62, 7 Pm 3.60-3.67, 2 Dy 3.66
Pm 0.2498 0.4998 0.9999  3 Sm 3.60-3.62, 7 Pm 3.60-3.67, 2 Dy 3.66
Pm 0.0820 0.2778 0.6682  5 Pm 3.60-3.66, 1 Dy 3.61, 6 Sm 3.63-3.67
Pm 0.9180 0.7222 0.3318  5 Pm 3.60-3.66, 1 Dy 3.61, 6 Sm 3.63-3.67
Pm 0.3329 0.7784 0.6671  1 Dy 3.61, 6 Pm 3.61-3.66, 5 Sm 3.63-3.66
Pm 0.5000 0.0000 0.0000  4 Sm 3.60-3.62, 6 Pm 3.61-3.66, 2 Dy 3.66
Pm 0.6671 0.2216 0.3329  1 Dy 3.61, 6 Pm 3.61-3.66, 5 Sm 3.63-3.66
Sm 0.4191 0.7224 0.3314  8 Pm 3.60-3.67, 1 Dy 3.60, 3 Sm 3.63-3.67
Sm 0.5809 0.2776 0.6686  8 Pm 3.60-3.67, 1 Dy 3.60, 3 Sm 3.63-3.67
Sm 0.8333 0.7772 0.6668  8 Pm 3.61-3.67, 4 Sm 3.62-3.67
Sm 0.1667 0.2228 0.3332  8 Pm 3.61-3.67, 4 Sm 3.62-3.67
Dy 0.0000 0.0000 0.0000  2 Sm 3.60, 10 Pm 3.61-3.66


Entry 2:
Computed, not measured: an optimized crystal structure of AlCd2Co at the GGA-PBE level of DFT.

Properties
* VASP energy: -2.91 eV/atom
* space-group type: Cmmm
* calculated formation energy: 0.262 eV/atom

a = 4.9373 Å, b = 4.9373 Å, c = 3.0122 Å
α = 90.00°, β = 90.00°, γ = 110.81°
Closest atoms and distances in Å follow each position.
Sites, in units of the cell vectors:
Co 0.5000 0.0000 0.5000  2 Al 2.80, 8 Cd 2.89, 2 Co 3.01
Al 0.0000 0.5000 0.5000  2 Co 2.80, 8 Cd 2.89, 2 Al 3.01
Cd 0.0000 0.0000 0.0000  4 Cd 2.80-3.01, 4 Co 2.89, 4 Al 2.89
Cd 0.5000 0.5000 0.0000  4 Cd 2.80-3.01, 4 Al 2.89, 4 Co 2.89


Entry 3:
Computed, not measured: an optimized crystal structure of Ca2PmCd6 at the GGA-PBE level of DFT.

Properties
* VASP energy: -1.92 eV/atom
* space-group type: C2/m
* calculated formation energy: -0.335 eV/atom

a = 3.5457 Å, b = 8.7308 Å, c = 8.7308 Å
α = 60.02°, β = 90.02°, γ = 90.02°
Closest atoms and distances in Å follow each position.
Sites, in units of the cell vectors:
Ca 0.0000 0.3333 0.3333  12 Cd 3.40-3.41, 2 Ca 3.55
Ca 0.0000 0.6667 0.6667  12 Cd 3.40-3.41, 2 Ca 3.55
Pm 0.0000 0.0000 0.0000  12 Cd 3.41-3.42, 2 Pm 3.55
Cd 0.4986 0.6659 0.9998  3 Cd 2.89-2.92
Cd 0.5014 0.0002 0.3341  3 Cd 2.89-2.92
Cd 0.5014 0.3341 0.0002  3 Cd 2.89-2.92
Cd 0.5000 0.6655 0.3345  3 Cd 2.89-2.92
Cd 0.4986 0.9998 0.6659  3 Cd 2.89-2.92
Cd 0.5000 0.3345 0.6655  3 Cd 2.89-2.92


Entry 4:
Computed, not measured: an optimized crystal structure of Nd3ErSe4 at the GGA-PBE level of DFT.

Properties
* VASP energy: -5.90 eV/atom
* space-group type: Cmmm
* excess energy over the best structure of this formula in the dataset: 0.5 kJ/mol of atoms
* E_form (uncorrected): -1.7981 eV/atom

a = 4.1193 Å, b = 7.2882 Å, c = 7.2882 Å
α = 108.68°, β = 90.00°, γ = 90.00°
Closest atoms and distances in Å follow each position.
Sites, in units of the cell vectors:
Nd 0.0000 0.0000 0.5000  6 Se 2.96
Nd 0.5000 0.5000 0.5000  6 Se 3.04
Nd 0.0000 0.5000 0.0000  6 Se 2.96
Er 0.5000 0.0000 0.0000  6 Se 2.88
Se 0.0000 0.2372 0.2372  2 Er 2.88, 4 Nd 2.96-3.04
Se 0.5000 0.7565 0.2435  1 Er 2.88, 5 Nd 2.96-3.04
Se 0.0000 0.7628 0.7628  2 Er 2.88, 4 Nd 2.96-3.04
Se 0.5000 0.2435 0.7565  1 Er 2.88, 5 Nd 2.96-3.04


Entry 5:
Computed, not measured: an optimized crystal structure of Th6SiAs2S3 at the GGA-PBE level of DFT.

Properties
* VASP energy: -7.48 eV/atom
* space-group type: C2/m
* E_form (uncorrected): -1.5075 eV/atom

a = 4.1904 Å, b = 8.2452 Å, c = 9.2536 Å
α = 101.78°, β = 103.09°, γ = 90.00°
Closest atoms and distances in Å follow each position.
Sites, in units of the cell vectors:
Th 0.3334 0.9239 0.6667  3 S 2.90-2.93, 1 Si 2.94, 2 As 2.99
Th 0.6636 0.5891 0.3272  3 S 2.89, 3 As 2.98
Th 0.6666 0.0761 0.3333  3 S 2.90-2.93, 1 Si 2.94, 2 As 2.99
Th 0.9979 0.2499 0.9957  3 S 2.91-2.93, 2 Si 2.94, 1 As 2.99
Th 0.0021 0.7501 0.0043  3 S 2.91-2.93, 2 Si 2.94, 1 As 2.99
Th 0.3364 0.4109 0.6728  3 S 2.89, 3 As 2.98
Si 0.5000 0.0000 0.0000  6 Th 2.94
As 0.8325 0.6655 0.6650  6 Th 2.98-2.99
As 0.1675 0.3345 0.3350  6 Th 2.98-2.99
S 0.5000 0.5000 0.0000  6 Th 2.89-2.93
S 0.8330 0.1672 0.6660  6 Th 2.89-2.93
S 0.1670 0.8328 0.3340  6 Th 2.89-2.93


Entry 6:
Computed, not measured: an optimized crystal structure of Ba6Pt2PbBr3 at the GGA-PBE level of DFT.

Properties
* VASP energy: -3.90 eV/atom
* space-group type: C2/m
* E_form (uncorrected): -1.2091 eV/atom

a = 4.6496 Å, b = 10.0656 Å, c = 11.0185 Å
α = 107.23°, β = 102.18°, γ = 90.00°
Closest atoms and distances in Å follow each position.
Sites, in units of the cell vectors:
Ba 0.3334 0.8884 0.6668  2 Pt 3.23, 1 Pb 3.42, 1 Br 3.48
Ba 0.6784 0.5614 0.3569  3 Pt 3.15-3.21
Ba 0.6666 0.1116 0.3332  2 Pt 3.23, 1 Pb 3.42, 1 Br 3.48
Ba 0.0109 0.2572 0.0218  1 Pt 3.24, 2 Br 3.43, 2 Pb 3.43
Ba 0.9891 0.7428 0.9782  1 Pt 3.24, 2 Br 3.43, 2 Pb 3.43
Ba 0.3216 0.4386 0.6431  3 Pt 3.15-3.21
Pt 0.8317 0.6640 0.6634  6 Ba 3.15-3.24
Pt 0.1683 0.3360 0.3366  6 Ba 3.15-3.24
Pb 0.5000 0.0000 0.0000  6 Ba 3.42-3.43
Br 0.5000 0.5000 0.0000  6 Ba 3.43-3.70
Br 0.8344 0.1700 0.6688  6 Ba 3.48-3.66
Br 0.1656 0.8300 0.3312  6 Ba 3.48-3.66


Entry 7:
Computed, not measured: an optimized crystal structure of BaLa3B at the GGA-PBE level of DFT.

Properties
* VASP energy: -4.51 eV/atom
* space-group type: Pm-3m
* excess energy over the best structure of this formula in the dataset: 0.0 kJ/mol of atoms
* calculated formation energy: 0.166 eV/atom

a = 5.5892 Å, b = 5.5892 Å, c = 5.5892 Å
α = 90.00°, β = 90.00°, γ = 90.00°
Closest atoms and distances in Å follow each position.
Sites, in units of the cell vectors:
B 0.0000 0.0000 0.0000  6 La 2.79
Ba 0.5000 0.5000 0.5000  12 La 3.95
La 0.0000 0.5000 0.0000  2 B 2.79
La 0.0000 0.0000 0.5000  2 B 2.79
La 0.5000 0.0000 0.0000  2 B 2.79


Entry 8:
Computed, not measured: an optimized crystal structure of La2PrZn3 at the GGA-PBE level of DFT.

Properties
* VASP energy: -3.38 eV/atom
* space-group type: P4/mmm
* excess energy over the best structure of this formula in the dataset: 0.6 kJ/mol of atoms
* calculated formation energy: -0.304 eV/atom

a = 3.7512 Å, b = 3.7512 Å, c = 11.2244 Å
α = 90.00°, β = 90.00°, γ = 90.00°
Closest atoms and distances in Å follow each position.
Sites, in units of the cell vectors:
La 0.5000 0.5000 0.8320  8 Zn 3.25-3.26
La 0.5000 0.5000 0.1680  8 Zn 3.25-3.26
Pr 0.5000 0.5000 0.5000  8 Zn 3.22
Zn 0.0000 0.0000 0.0000  8 La 3.25
Zn 0.0000 0.0000 0.6627  4 Pr 3.22, 4 La 3.26
Zn 0.0000 0.0000 0.3373  4 Pr 3.22, 4 La 3.26


Entry 9:
Computed, not measured: an optimized crystal structure of CsAl3Hg at the GGA-PBE level of DFT.

Properties
* VASP energy: -0.88 eV/atom
* space-group type: Pm-3m
* excess energy over the best structure of this formula in the dataset: 97.0 kJ/mol of atoms
* calculated formation energy: 1.595 eV/atom

a = 6.4593 Å, b = 6.4593 Å, c = 6.4593 Å
α = 90.00°, β = 90.00°, γ = 90.00°
Closest atoms and distances in Å follow each position.
Sites, in units of the cell vectors:
Cs 0.0000 0.0000 0.0000  6 Al 3.23
Hg 0.5000 0.5000 0.5000  12 Al 4.57
Al 0.0000 0.5000 0.0000  2 Cs 3.23
Al 0.0000 0.0000 0.5000  2 Cs 3.23
Al 0.5000 0.0000 0.0000  2 Cs 3.23


Entry 10:
Computed, not measured: an optimized crystal structure of YHf2Rh at the GGA-PBE level of DFT.

Properties
* VASP energy: -8.58 eV/atom
* space-group type: I-42d
* excess energy over the best structure of this formula in the dataset: 0.0 kJ/mol of atoms
* calculated formation energy: -0.149 eV/atom

a = 7.9600 Å, b = 7.9600 Å, c = 6.3752 Å
α = 51.37°, β = 51.37°, γ = 90.00°
Closest atoms and distances in Å follow each position.
Sites, in units of the cell vectors:
Y 0.5000 0.5000 0.0000  2 Rh 2.99, 8 Hf 3.30-3.34
Y 0.2500 0.7500 0.5000  2 Rh 2.99, 8 Hf 3.30-3.34
Rh 0.0000 0.0000 0.0000  4 Hf 2.58
Rh 0.7500 0.2500 0.5000  4 Hf 2.58
Hf 0.6918 0.1250 0.2500  2 Rh 2.58
Hf 0.0582 0.6250 0.2500  2 Rh 2.58
Hf 0.3750 0.3082 0.7500  2 Rh 2.58
Hf 0.8750 0.9418 0.7500  2 Rh 2.58


Entry 11:
Computed, not measured: an optimized crystal structure of BiSbOs3 at the GGA-PBE level of DFT.

Properties
* VASP energy: -6.21 eV/atom
* space-group type: Pm-3m
* excess energy over the best structure of this formula in the dataset: 0.0 kJ/mol of atoms
* E_form (uncorrected): 2.1237 eV/atom

a = 4.8654 Å, b = 4.8654 Å, c = 4.8654 Å
α = 90.00°, β = 90.00°, γ = 90.00°
Closest atoms and distances in Å follow each position.
Sites, in units of the cell vectors:
Sb 0.0000 0.0000 0.0000  6 Os 2.43
Os 0.0000 0.5000 0.0000  2 Sb 2.43
Os 0.0000 0.0000 0.5000  2 Sb 2.43
Os 0.5000 0.0000 0.0000  2 Sb 2.43
Bi 0.5000 0.5000 0.5000  12 Os 3.44


Entry 12:
Computed, not measured: an optimized crystal structure of CaY2Mn2 at the GGA-PBE level of DFT.

Properties
* VASP energy: -6.45 eV/atom
* space-group type: P4/mbm
* calculated formation energy: 0.203 eV/atom

a = 8.2185 Å, b = 8.2185 Å, c = 3.7396 Å
α = 90.00°, β = 90.00°, γ = 90.00°
Closest atoms and distances in Å follow each position.
Sites, in units of the cell vectors:
Y 0.1654 0.6654 0.5000  6 Mn 3.00-3.15
Y 0.6654 0.8346 0.5000  6 Mn 3.00-3.15
Y 0.8346 0.3346 0.5000  6 Mn 3.00-3.15
Y 0.3346 0.1654 0.5000  6 Mn 3.00-3.15
Ca 0.0000 0.0000 0.0000  4 Mn 3.29, 8 Y 3.59
Ca 0.5000 0.5000 0.0000  4 Mn 3.29, 8 Y 3.59
Mn 0.3835 0.8835 0.0000  1 Mn 2.71, 4 Y 3.00
Mn 0.8835 0.6165 0.0000  1 Mn 2.71, 4 Y 3.00
Mn 0.6165 0.1165 0.0000  1 Mn 2.71, 4 Y 3.00
Mn 0.1165 0.3835 0.0000  1 Mn 2.71, 4 Y 3.00